Er3AlNi8 | GGA-PBE | relaxed

Cell: 4.9584 4.9584 8.6083 Å, 73.26 73.26 60.00°
With the nearest neighbours (Å) after each atom.
Fractional positions:
Er (0.3767, 0.3767, 0.8698)  12 Ni 2.91-2.97, 4 Er 3.11-3.12
Er (0.5048, 0.5048, 0.4856)  12 Ni 2.80-2.94, 3 Al 2.97, 1 Er 3.12
Er (0.9932, 0.9932, 0.0203)  12 Ni 2.84-3.11, 1 Al 3.00, 3 Er 3.11
Ni (0.9382, 0.9382, 0.6813)  6 Ni 2.46-2.50
Ni (0.4358, 0.9381, 0.1904)  6 Ni 2.44-2.52
Ni (0.1885, 0.1885, 0.4345)  6 Ni 2.44-2.47
Ni (0.6883, 0.6883, 0.9350)  6 Ni 2.50-2.52
Ni (0.4423, 0.9382, 0.6813)  6 Ni 2.46-2.50
Ni (0.9382, 0.4423, 0.6813)  6 Ni 2.46-2.50
Ni (0.4358, 0.4358, 0.1904)  6 Ni 2.44-2.52
Ni (0.9381, 0.4358, 0.1904)  6 Ni 2.44-2.52
Al (0.8701, 0.8701, 0.3898)  12 Ni 2.76-2.96, 4 Er 2.97-3.00

Computed properties:
Symmetry: No. 160
Energy above the most stable polymorph in this dataset in meV/atom: 5
Total magnetization in μB per cell: 0.0
E_tot in eV/cell: -69.3
Formation energy in kJ/mol of formula units: -547
Density of states at the Fermi level in states/eV/cell: 9.86